! PBE-GGA HfH2PdBr, relaxed; values from VASP
! Total DFT energy (no corrections), eV per atom: -4.66
&SYSTEM
  ibrav = 0, nat = 5, ntyp = 4
/
ATOMIC_SPECIES
Hf 178.49 Hf.upf
H 1.01 H.upf
Pd 106.42 Pd.upf
Br 79.90 Br.upf
CELL_PARAMETERS angstrom
3.807 0.000 0.000
0.000 3.807 0.000
0.000 0.000 5.233
ATOMIC_POSITIONS angstrom
Hf 0.000 0.000 0.000
H 0.000 1.904 0.000
H 1.904 0.000 0.000
Pd 1.904 1.904 2.616
Br 0.000 0.000 2.616


! PBE-GGA HfHRh2Br, relaxed; values from VASP
! Total DFT energy (no corrections), eV per atom: -4.62
&SYSTEM
  ibrav = 0, nat = 5, ntyp = 4
/
ATOMIC_SPECIES
Hf 178.49 Hf.upf
H 1.01 H.upf
Rh 102.91 Rh.upf
Br 79.90 Br.upf
CELL_PARAMETERS angstrom
4.555 0.000 0.000
0.000 4.555 0.000
0.000 0.000 4.963
ATOMIC_POSITIONS angstrom
Hf 0.000 0.000 0.000
H 2.278 2.278 0.000
Rh 0.000 2.278 2.481
Rh 2.278 0.000 2.481
Br 0.000 0.000 2.481


! PBE-GGA HfSc2HBr, relaxed; values from VASP
! Total DFT energy (no corrections), eV per atom: -5.56
&SYSTEM
  ibrav = 0, nat = 5, ntyp = 4
/
ATOMIC_SPECIES
Hf 178.49 Hf.upf
Sc 44.96 Sc.upf
H 1.01 H.upf
Br 79.90 Br.upf
CELL_PARAMETERS angstrom
4.929 0.000 0.000
0.000 4.929 0.000
0.000 0.000 3.809
ATOMIC_POSITIONS angstrom
Hf 0.000 0.000 0.000
Sc 0.000 2.464 1.905
Sc 2.464 0.000 1.905
H 0.000 0.000 1.905
Br 2.464 2.464 0.000


! PBE-GGA HfHSeBr, relaxed; values from VASP
! Total DFT energy (no corrections), eV per atom: -5.73
&SYSTEM
  ibrav = 0, nat = 4, ntyp = 4
/
ATOMIC_SPECIES
Hf 178.49 Hf.upf
H 1.01 H.upf
Se 78.96 Se.upf
Br 79.90 Br.upf
CELL_PARAMETERS angstrom
3.100 -1.790 0.000
3.100 1.790 0.000
-2.078 0.000 7.234
ATOMIC_POSITIONS angstrom
Hf 0.000 0.000 0.000
H 2.066 0.000 0.101
Se 2.055 0.000 5.521
Br 4.133 0.000 1.932


! PBE-GGA HfTeHBr, relaxed; values from VASP
! Total DFT energy (no corrections), eV per atom: -5.44
&SYSTEM
  ibrav = 0, nat = 4, ntyp = 4
/
ATOMIC_SPECIES
Hf 178.49 Hf.upf
Te 127.60 Te.upf
H 1.01 H.upf
Br 79.90 Br.upf
CELL_PARAMETERS angstrom
3.175 -1.833 0.000
3.175 1.833 0.000
-2.130 0.000 7.653
ATOMIC_POSITIONS angstrom
Hf 0.000 0.000 0.000
Te 2.117 0.000 1.953
H 2.103 0.000 7.635
Br -0.013 0.000 5.769


! PBE-GGA Hf2TeHBr, relaxed; values from VASP
! Total DFT energy (no corrections), eV per atom: -5.54
&SYSTEM
  ibrav = 0, nat = 5, ntyp = 4
/
ATOMIC_SPECIES
Hf 178.49 Hf.upf
Te 127.60 Te.upf
H 1.01 H.upf
Br 79.90 Br.upf
CELL_PARAMETERS angstrom
4.598 0.000 0.000
0.000 4.598 0.000
0.000 0.000 4.410
ATOMIC_POSITIONS angstrom
Hf 0.000 2.299 0.000
Hf 2.299 0.000 0.000
Te 0.000 0.000 2.205
H 2.299 2.299 0.000
Br 2.299 2.299 2.205


! PBE-GGA HgH6Br8, relaxed; values from VASP
! Total DFT energy (no corrections), eV per atom: -2.52
&SYSTEM
  ibrav = 0, nat = 15, ntyp = 3
/
ATOMIC_SPECIES
Hg 200.59 Hg.upf
H 1.01 H.upf
Br 79.90 Br.upf
CELL_PARAMETERS angstrom
4.817 2.781 7.507
-4.817 2.781 7.507
0.000 -5.563 7.507
ATOMIC_POSITIONS angstrom
Hg 0.000 0.000 0.000
H -1.122 -0.973 9.206
H -0.281 1.458 9.206
H -1.403 0.486 13.314
H 1.403 -0.486 9.206
H 0.281 -1.458 13.314
H 1.122 0.973 13.314
Br 0.000 0.000 2.427
Br -2.215 -0.006 9.282
Br -1.102 -1.921 13.238
Br 1.113 -1.915 9.282
Br -1.113 1.915 13.238
Br 1.102 1.921 9.282
Br 2.215 0.007 13.238
Br 0.000 0.000 20.094


! PBE-GGA Hg3HBr8, relaxed; values from VASP
! Total DFT energy (no corrections), eV per atom: -1.76
&SYSTEM
  ibrav = 0, nat = 12, ntyp = 3
/
ATOMIC_SPECIES
Hg 200.59 Hg.upf
H 1.01 H.upf
Br 79.90 Br.upf
CELL_PARAMETERS angstrom
11.415 -2.146 0.000
11.415 2.146 0.000
-3.948 0.000 9.795
ATOMIC_POSITIONS angstrom
Hg 0.000 0.000 0.000
Hg 0.452 0.000 4.477
Hg 4.872 0.000 5.489
H 7.959 0.000 1.535
Br 2.654 0.000 0.231
Br 2.753 0.000 3.115
Br 2.665 0.000 6.744
Br 6.629 0.000 0.989
Br 6.864 0.000 8.214
Br 10.763 0.000 5.665
Br 17.686 0.000 4.721
Br 21.468 0.000 2.231


! PBE-GGA HgH3Br, relaxed; values from VASP
! Distance to the lowest polymorph of the same formula, eV/atom: 0.0000
! Total DFT energy (no corrections), eV per atom: -1.71
&SYSTEM
  ibrav = 0, nat = 5, ntyp = 3
/
ATOMIC_SPECIES
Hg 200.59 Hg.upf
H 1.01 H.upf
Br 79.90 Br.upf
CELL_PARAMETERS angstrom
3.956 0.000 0.000
0.000 3.956 0.000
0.000 0.000 3.956
ATOMIC_POSITIONS angstrom
Hg 0.000 0.000 0.000
H 0.000 0.000 1.978
H 0.000 1.978 0.000
H 1.978 0.000 0.000
Br 1.978 1.978 1.978


! PBE-GGA HgHBr, relaxed; values from VASP
! Distance to the lowest polymorph of the same formula, eV/atom: 0.0000
! Total DFT energy (no corrections), eV per atom: -2.03
&SYSTEM
  ibrav = 0, nat = 6, ntyp = 3
/
ATOMIC_SPECIES
Hg 200.59 Hg.upf
H 1.01 H.upf
Br 79.90 Br.upf
CELL_PARAMETERS angstrom
4.336 0.000 0.000
0.190 4.337 0.000
0.179 0.153 8.410
ATOMIC_POSITIONS angstrom
Hg 0.829 0.784 3.387
Hg 3.877 3.706 5.023
H 0.447 4.062 0.000
H 4.259 0.428 8.410
Br 2.326 2.215 6.389
Br 2.380 2.275 2.021


! PBE-GGA HgH3Br, relaxed; values from VASP
! Distance to the lowest polymorph of the same formula, eV/atom: 0.1401
! Total DFT energy (no corrections), eV per atom: -1.57
&SYSTEM
  ibrav = 0, nat = 5, ntyp = 3
/
ATOMIC_SPECIES
Hg 200.59 Hg.upf
H 1.01 H.upf
Br 79.90 Br.upf
CELL_PARAMETERS angstrom
4.040 0.000 0.000
0.000 4.040 0.000
0.000 0.000 4.040
ATOMIC_POSITIONS angstrom
Hg 0.000 0.000 0.000
H 0.000 2.020 2.020
H 2.020 0.000 2.020
H 2.020 2.020 0.000
Br 2.020 2.020 2.020


! PBE-GGA HgHBr, relaxed; values from VASP
! Distance to the lowest polymorph of the same formula, eV/atom: 0.0031
! Total DFT energy (no corrections), eV per atom: -2.02
&SYSTEM
  ibrav = 0, nat = 6, ntyp = 3
/
ATOMIC_SPECIES
Hg 200.59 Hg.upf
H 1.01 H.upf
Br 79.90 Br.upf
CELL_PARAMETERS angstrom
4.131 0.000 0.000
2.060 3.581 0.000
0.097 0.044 11.055
ATOMIC_POSITIONS angstrom
Hg 0.000 0.000 0.000
Hg 0.119 0.057 8.394
H 0.406 0.199 4.035
H 5.966 3.526 4.355
Br 2.074 1.199 1.572
Br 2.173 1.245 6.823


Which of these has the lowest total DFT energy (no corrections)? HfHSeBr


What is the total DFT energy (no corrections) in the twelfth record? -2.02 eV per atom